# MnHCSe2

A geometry-optimized MnHCSe2 structure (PBE-GGA, Alexandria).

Unit cell a=4.558 b=4.558 c=3.261 alpha=90.00 beta=90.00 gamma=90.00
Atoms (fractional coordinates):
Mn: 0.000 0.000 0.000
H: 0.000 0.000 0.500
C: 0.500 0.500 0.000
Se: 0.000 0.500 0.500
Se: 0.500 0.000 0.500

Final energy, eV/f.u.: -21.8
Total magnetic moment, Bohr magnetons per cell: 3.3
SG: P4/mmm